The following is a DFT calculation (PBE) of a geometry-optimized ScNi2As2 structure.

Computed properties:
* ρ: 6.884 g cm⁻³
* crystal system: tetragonal
* symmetry: No. 127
* total magnetic moment: 0.000 μB/cell
* ΔE_f: -186 kJ/mol of formula units
* volume: 15.06 Å³/atom

Unit cell a=6.9669 b=6.9669 c=3.1030 alpha=90.00 beta=90.00 gamma=90.00
Element x y z (fractional)
Sc (0.0000, 0.0000, 0.0000)
Sc (0.5000, 0.5000, 0.0000)
Ni (0.3784, 0.8784, 0.0000)
Ni (0.8784, 0.6216, 0.0000)
Ni (0.6216, 0.1216, 0.0000)
Ni (0.1216, 0.3784, 0.0000)
As (0.1795, 0.6795, 0.5000)
As (0.6795, 0.8205, 0.5000)
As (0.8205, 0.3205, 0.5000)
As (0.3205, 0.1795, 0.5000)